Model P:
# AgPd2Pt

A geometry-optimized AgPd2Pt structure (PBE, Alexandria).

It has space group R-3m (No. 166, hexagonal axes), with a = 2.8044 Å, b = 2.8044 Å, c = 28.0854 Å, α = 90.00°, β = 90.00° and γ = 120.00°. The asymmetric unit holds Ag at (0.0000, 0.0000, 0.0000), Pd at (0.0000, 0.0000, 0.2490) and Pt at (0.0000, 0.0000, 0.5000).

As for the crystal system: trigonal.

Model Q:
# AgPd2Pt

A geometry-optimized AgPd2Pt structure (PBE, Alexandria).

It has space group R3m (No. 160, hexagonal axes), with a = 2.8022 Å, b = 2.8022 Å, c = 28.1696 Å, α = 90.00°, β = 90.00° and γ = 120.00°. The asymmetric unit holds Ag at (0.0000, 0.0000, 0.0000), Pd at (0.0000, 0.0000, 0.5824), Pd at (0.0000, 0.0000, 0.7514) and Pt at (0.0000, 0.0000, 0.1671).

As for the crystal system: trigonal.

What are the relative energies? In eV/atom: model P 0.000; model Q 0.007.

Model P:
# TlTc2Rh

A geometry-optimized TlTc2Rh structure (PBE, Alexandria).

It has space group P4/mmm (No. 123), with a = 3.782 Å, b = 3.782 Å, c = 4.550 Å, α = 90.00°, β = 90.00° and γ = 90.00°. The asymmetric unit holds Tl at (0.000, 0.000, 0.000), Tc at (0.000, 0.500, 0.500) and Rh at (0.500, 0.500, 0.000).

As for the crystal system: tetragonal.

Model Q:
# TlTc2Rh

A geometry-optimized TlTc2Rh structure (PBE, Alexandria).

It has space group Imm2 (No. 44), with a = 3.846 Å, b = 4.329 Å, c = 7.949 Å, α = 90.00°, β = 90.00° and γ = 90.00°. The asymmetric unit holds Tl at (0.000, 0.000, 0.000), Tc at (0.000, 0.000, 0.538), Tc at (0.000, 0.500, 0.237) and Rh at (0.000, 0.500, 0.759).

As for the crystal system: orthorhombic.

What are the relative energies? In eV/atom: model P 0.062; model Q 0.000.

Model P:
# B5C7

A geometry-optimized B5C7 structure (PBE, Alexandria).

It has space group Pm (No. 6), with a = 4.794 Å, b = 2.535 Å, c = 6.573 Å, α = 90.00°, β = 90.11° and γ = 90.00°. The asymmetric unit holds B at (0.000, 0.000, 0.000), B at (0.056, 0.000, 0.326), B at (0.159, 0.500, 0.725), B at (0.493, 0.500, 0.056), B at (0.822, 0.500, 0.392), C at (0.177, 0.500, 0.979), C at (0.370, 0.000, 0.390), C at (0.370, 0.000, 0.625), C at (0.515, 0.500, 0.303), C at (0.673, 0.000, 0.714), C at (0.682, 0.000, 0.947) and C at (0.836, 0.500, 0.637).

As for the crystal system: monoclinic.

Model Q:
# B5C7

A geometry-optimized B5C7 structure (PBE, Alexandria).

It has space group Cm (No. 8), with a = 12.406 Å, b = 2.635 Å, c = 5.321 Å, α = 90.00°, β = 96.86° and γ = 90.00°. The asymmetric unit holds B at (0.000, 0.000, 0.000), B at (0.048, 0.500, 0.315), B at (0.154, 0.500, 0.793), B at (0.246, 0.000, 0.745), B at (0.377, 0.500, 0.474), C at (0.067, 0.500, 0.968), C at (0.165, 0.500, 0.223), C at (0.233, 0.000, 0.243), C at (0.312, 0.000, 0.508), C at (0.315, 0.000, 0.037), C at (0.381, 0.500, 0.062) and C at (0.482, 0.500, 0.335).

As for the crystal system: monoclinic.

What are the relative energies? In eV/atom: model P 0.032; model Q 0.000.

Model P:
# CrP2W

A geometry-optimized CrP2W structure (PBE, Alexandria).

It has space group Cm (No. 8), with a = 8.261 Å, b = 3.056 Å, c = 4.277 Å, α = 90.00°, β = 105.92° and γ = 90.00°. The asymmetric unit holds Cr at (0.000, 0.000, 0.000), P at (0.012, 0.500, 0.544), P at (0.268, 0.000, 0.881) and W at (0.272, 0.500, 0.384).

As for the crystal system: monoclinic.

Model Q:
# CrP2W

A geometry-optimized CrP2W structure (PBE, Alexandria).

It has space group F-43m (No. 216), with a = 5.974 Å, b = 5.974 Å, c = 5.974 Å, α = 90.00°, β = 90.00° and γ = 90.00°. The asymmetric unit holds Cr at (0.000, 0.000, 0.000), P at (0.000, 0.000, 0.500), P at (0.250, 0.250, 0.250) and W at (0.250, 0.250, 0.750).

As for the crystal system: cubic.

What are the relative energies? In eV/atom: model P 0.000; model Q 0.653.

Model P:
# Pm3YSi2

A geometry-optimized Pm3YSi2 structure (PBE, Alexandria).

It has space group C2/m (No. 12), with a = 20.022 Å, b = 4.234 Å, c = 8.288 Å, α = 90.00°, β = 114.29° and γ = 90.00°. The asymmetric unit holds Pm at (0.025, 0.000, 0.310), Pm at (0.096, 0.500, 0.999), Pm at (0.176, 0.500, 0.421), Y at (0.184, 0.000, 0.793), Si at (0.066, 0.500, 0.605) and Si at (0.210, 0.000, 0.190).

As for the crystal system: monoclinic.

Model Q:
# Pm3YSi2

A geometry-optimized Pm3YSi2 structure (PBE, Alexandria).

It has space group Immm (No. 71), with a = 4.431 Å, b = 4.500 Å, c = 16.257 Å, α = 90.00°, β = 90.00° and γ = 90.00°. The asymmetric unit holds Pm at (0.000, 0.000, 0.000), Pm at (0.000, 0.500, 0.319), Y at (0.000, 0.000, 0.500) and Si at (0.000, 0.500, 0.133).

As for the crystal system: orthorhombic.

What are the relative energies? In eV/atom: model P 0.000; model Q 0.017.